Record 1
# Li6Mg3Cd

Li6Mg3Cd after structural relaxation (GGA-PBE, the Alexandria database).

The structure belongs to space group Fm-3m (No. 225); the cell edges are 10.083, 10.083 and 10.083 Å and the angles 90.00°, 90.00° and 90.00°. The inequivalent atoms are Li at (0.000, 0.000, 0.247), Mg at (0.000, 0.000, 0.500), Mg at (0.250, 0.250, 0.250) and Cd at (0.000, 0.000, 0.000).

The energy relative to the elements is 293.5 meV/atom. The value obtained for the polymorph energy (0 for the lowest one) is 37.4 kJ/mol of atoms. For the density of states at the Fermi level, the calculation gives 18.888 states/eV/cell. Its crystal system is cubic. The value obtained for the total energy is -0.0524 Ha/atom.

***

Record 2
# Li3MgCd3

Li3MgCd3 after structural relaxation (GGA-PBE, the Alexandria database).

The structure belongs to space group Cmmm (No. 65); the cell edges are 9.767, 9.883 and 5.937 Å and the angles 90.00°, 90.00° and 90.00°. The inequivalent atoms are Li at (0.000, 0.198, 0.000), Li at (0.000, 0.249, 0.500), Li at (0.242, 0.000, 0.000), Mg at (0.177, 0.000, 0.500), Cd at (0.000, 0.500, 0.251) and Cd at (0.250, 0.250, 0.247).

The energy relative to the elements is -143.3 meV/atom. The value obtained for the polymorph energy (0 for the lowest one) is 0.0 kJ/mol of atoms. For the density of states at the Fermi level, the calculation gives 8.731 states/eV/cell. Its crystal system is orthorhombic. The value obtained for the total energy is -0.0582 Ha/atom.

***

Record 3
# Li5MgCd2

Li5MgCd2 after structural relaxation (GGA-PBE, the Alexandria database).

The structure belongs to space group Pbam (No. 55); the cell edges are 5.890, 11.771 and 4.367 Å and the angles 90.00°, 90.00° and 90.00°. The inequivalent atoms are Li at (0.000, 0.000, 0.000), Li at (0.029, 0.247, 0.000), Li at (0.234, 0.629, 0.500), Mg at (0.000, 0.500, 0.000) and Cd at (0.227, 0.876, 0.500).

The energy relative to the elements is -163.9 meV/atom. For the density of states at the Fermi level, the calculation gives 6.336 states/eV/cell. Its crystal system is orthorhombic. The value obtained for the total energy is -0.0657 Ha/atom.

***

Record 4
# LiMg3Cd4

LiMg3Cd4 after structural relaxation (GGA-PBE, the Alexandria database).

The structure belongs to space group C2/m (No. 12); the cell edges are 14.678, 4.906 and 4.905 Å and the angles 90.00°, 109.47° and 90.00°. The inequivalent atoms are Li at (0.000, 0.000, 0.000), Mg at (0.000, 0.500, 0.500), Mg at (0.249, 0.000, 0.249), Cd at (0.120, 0.000, 0.620) and Cd at (0.120, 0.500, 0.121).

The energy relative to the elements is -146.1 meV/atom. The value obtained for the polymorph energy (0 for the lowest one) is 1.0 kJ/mol of atoms. For the density of states at the Fermi level, the calculation gives 4.285 states/eV/cell. Its crystal system is monoclinic. The value obtained for the total energy is -0.0530 Ha/atom.

***

Record 5
# LiMg3Cd12

LiMg3Cd12 after structural relaxation (GGA-PBE, the Alexandria database).

The structure belongs to space group P4/mmm (No. 123); the cell edges are 4.424, 4.424 and 17.752 Å and the angles 90.00°, 90.00° and 90.00°. The inequivalent atoms are Li at (0.000, 0.000, 0.000), Mg at (0.000, 0.000, 0.247), Mg at (0.000, 0.000, 0.500), Cd at (0.000, 0.500, 0.121), Cd at (0.000, 0.500, 0.374), Cd at (0.500, 0.500, 0.000), Cd at (0.500, 0.500, 0.248) and Cd at (0.500, 0.500, 0.500).

The energy relative to the elements is -87.0 meV/atom. For the density of states at the Fermi level, the calculation gives 5.084 states/eV/cell. Its crystal system is tetragonal. The value obtained for the total energy is -0.0438 Ha/atom.

***

Record 6
# Li3Mg2Cd

Li3Mg2Cd after structural relaxation (GGA-PBE, the Alexandria database).

The structure belongs to space group P-3m1 (No. 164); the cell edges are 5.5324, 5.5324 and 8.7741 Å and the angles 90.00°, 90.00° and 120.00°. The inequivalent atoms are Li at (0.1762, 0.3523, 0.2447), Mg at (0.0000, 0.0000, 0.0000), Mg at (0.0000, 0.0000, 0.5000), Mg at (0.3333, 0.6667, 0.5678) and Cd at (0.3333, 0.6667, 0.9298).

The energy relative to the elements is -62.9 meV/atom. The value obtained for the polymorph energy (0 for the lowest one) is 6.8 kJ/mol of atoms. For the density of states at the Fermi level, the calculation gives 3.281 states/eV/cell. Its crystal system is trigonal. The value obtained for the total energy is -0.0626 Ha/atom.

***

Record 7
# Li6Mg4Cd

Li6Mg4Cd after structural relaxation (GGA-PBE, the Alexandria database).

The structure belongs to space group C2 (No. 5); the cell edges are 22.448, 5.823 and 5.823 Å and the angles 90.00°, 104.73° and 90.00°. The inequivalent atoms are Li at (0.000, 0.000, 0.000), Li at (0.000, 0.498, 0.500), Li at (0.092, 0.803, 0.395), Li at (0.093, 0.197, 0.789), Mg at (0.107, 0.297, 0.308), Mg at (0.107, 0.703, 0.903) and Cd at (0.000, 0.500, 0.000).

The energy relative to the elements is 207.3 meV/atom. For the density of states at the Fermi level, the calculation gives 11.068 states/eV/cell. Its crystal system is monoclinic. The value obtained for the total energy is -0.0551 Ha/atom.

***

Record 8
# Li12Mg6Cd

Li12Mg6Cd after structural relaxation (GGA-PBE, the Alexandria database).

The structure belongs to space group R-3 (No. 148, hexagonal axes); the cell edges are 10.6201, 10.6201 and 12.3060 Å and the angles 90.00°, 90.00° and 120.00°. The inequivalent atoms are Li at (0.0388, 0.1816, 0.3105), Li at (0.0601, 0.8556, 0.9090), Mg at (0.0256, 0.4327, 0.2096) and Cd at (0.0000, 0.0000, 0.5000).

The energy relative to the elements is -30.0 meV/atom. For the density of states at the Fermi level, the calculation gives 25.636 states/eV/cell. Its crystal system is trigonal. The value obtained for the total energy is -0.0658 Ha/atom.

***

Record 9
# Li12MgCd7

Li12MgCd7 after structural relaxation (GGA-PBE, the Alexandria database).

The structure belongs to space group R-3 (No. 148, hexagonal axes); the cell edges are 12.5556, 12.5556 and 8.3743 Å and the angles 90.00°, 90.00° and 120.00°. The inequivalent atoms are Li at (0.0383, 0.7885, 0.0740), Li at (0.0642, 0.8182, 0.4208), Mg at (0.0000, 0.0000, 0.0000), Cd at (0.0000, 0.0000, 0.5000) and Cd at (0.0452, 0.8399, 0.7506).

The energy relative to the elements is -155.2 meV/atom. For the density of states at the Fermi level, the calculation gives 28.077 states/eV/cell. Its crystal system is trigonal. The value obtained for the total energy is -0.0626 Ha/atom.

***

Record 10
# Li5MgCd8

Li5MgCd8 after structural relaxation (GGA-PBE, the Alexandria database).

The structure belongs to space group I-4 (No. 82); the cell edges are 8.141, 8.141 and 8.851 Å and the angles 90.00°, 90.00° and 90.00°. The inequivalent atoms are Li at (0.000, 0.000, 0.000), Li at (0.124, 0.794, 0.581), Mg at (0.000, 0.500, 0.250), Cd at (0.071, 0.669, 0.919) and Cd at (0.104, 0.839, 0.254).

The energy relative to the elements is -112.2 meV/atom. For the density of states at the Fermi level, the calculation gives 12.878 states/eV/cell. Its crystal system is tetragonal. The value obtained for the total energy is -0.0526 Ha/atom.